Arrangement 1

BeSiTcBi: optimized geometry, PBE.

Unit cell a=6.4354 b=6.4354 c=6.4354 alpha=90.00 beta=90.00 gamma=90.00
Space group F-43m (No. 216)
Inequivalent atoms, fractional coordinates:
Be 0.0000 0.0000 0.0000 [4 per cell]
Si 0.0000 0.0000 0.5000 [4 per cell]
Tc 0.2500 0.2500 0.2500 [4 per cell]
Bi 0.2500 0.2500 0.7500 [4 per cell]

Properties
* V: 16.66 Å³ per atom

---

Arrangement 2

BeSiTcBi: optimized geometry, PBE.

Unit cell a=6.3972 b=6.3972 c=6.3972 alpha=90.00 beta=90.00 gamma=90.00
Space group F-43m (No. 216)
Inequivalent atoms, fractional coordinates:
Be 0.0000 0.0000 0.0000 [4 per cell]
Si 0.2500 0.2500 0.7500 [4 per cell]
Tc 0.0000 0.0000 0.5000 [4 per cell]
Bi 0.2500 0.2500 0.2500 [4 per cell]

Properties
* V: 16.36 Å³ per atom

---

It comes down to arrangement 2, which is 0.073 eV/atom more stable than the next structure.

---

Arrangement 1

TaBeBiTe: optimized geometry, PBE.

Unit cell a=7.0535 b=7.0535 c=7.0535 alpha=90.00 beta=90.00 gamma=90.00
Space group F-43m (No. 216)
Inequivalent atoms, fractional coordinates:
Ta 0.0000 0.0000 0.0000 [4 per cell]
Be 0.2500 0.2500 0.2500 [4 per cell]
Bi 0.2500 0.2500 0.7500 [4 per cell]
Te 0.0000 0.0000 0.5000 [4 per cell]

Properties
* V: 21.93 Å³ per atom

---

Arrangement 2

TaBeBiTe: optimized geometry, PBE.

Unit cell a=7.0145 b=7.0145 c=7.0145 alpha=90.00 beta=90.00 gamma=90.00
Space group F-43m (No. 216)
Inequivalent atoms, fractional coordinates:
Ta 0.0000 0.0000 0.0000 [4 per cell]
Be 0.2500 0.2500 0.2500 [4 per cell]
Bi 0.0000 0.0000 0.5000 [4 per cell]
Te 0.2500 0.2500 0.7500 [4 per cell]

Properties
* V: 21.57 Å³ per atom

---

Arrangement 3

TaBeBiTe: optimized geometry, PBE.

Unit cell a=6.9700 b=6.9700 c=6.9700 alpha=90.00 beta=90.00 gamma=90.00
Space group F-43m (No. 216)
Inequivalent atoms, fractional coordinates:
Ta 0.0000 0.0000 0.0000 [4 per cell]
Be 0.0000 0.0000 0.5000 [4 per cell]
Bi 0.2500 0.2500 0.2500 [4 per cell]
Te 0.2500 0.2500 0.7500 [4 per cell]

Properties
* V: 21.16 Å³ per atom

---

It comes down to arrangement 3, which is 0.198 eV/atom more stable than the next structure.

---

Arrangement 1

TaBeBiW: optimized geometry, PBE.

Unit cell a=6.5480 b=6.5480 c=6.5480 alpha=90.00 beta=90.00 gamma=90.00
Space group F-43m (No. 216)
Inequivalent atoms, fractional coordinates:
Ta 0.0000 0.0000 0.0000 [4 per cell]
Be 0.2500 0.2500 0.7500 [4 per cell]
Bi 0.0000 0.0000 0.5000 [4 per cell]
W 0.2500 0.2500 0.2500 [4 per cell]

Properties
* V: 17.55 Å³ per atom

---

Arrangement 2

TaBeBiW: optimized geometry, PBE.

Unit cell a=6.5039 b=6.5039 c=6.5039 alpha=90.00 beta=90.00 gamma=90.00
Space group F-43m (No. 216)
Inequivalent atoms, fractional coordinates:
Ta 0.0000 0.0000 0.0000 [4 per cell]
Be 0.2500 0.2500 0.7500 [4 per cell]
Bi 0.2500 0.2500 0.2500 [4 per cell]
W 0.0000 0.0000 0.5000 [4 per cell]

Properties
* V: 17.20 Å³ per atom

---

It comes down to arrangement 1, which is 0.123 eV/atom more stable than the next structure.

---

Arrangement 1

ZrBeTcBi: optimized geometry, PBE.

Unit cell a=6.5641 b=6.5641 c=6.5641 alpha=90.00 beta=90.00 gamma=90.00
Space group F-43m (No. 216)
Inequivalent atoms, fractional coordinates:
Zr 0.0000 0.0000 0.0000 [4 per cell]
Be 0.2500 0.2500 0.2500 [4 per cell]
Tc 0.2500 0.2500 0.7500 [4 per cell]
Bi 0.0000 0.0000 0.5000 [4 per cell]

Properties
* V: 17.68 Å³ per atom

---

Arrangement 2

ZrBeTcBi: optimized geometry, PBE.

Unit cell a=6.6258 b=6.6258 c=6.6258 alpha=90.00 beta=90.00 gamma=90.00
Space group F-43m (No. 216)
Inequivalent atoms, fractional coordinates:
Zr 0.0000 0.0000 0.0000 [4 per cell]
Be 0.0000 0.0000 0.5000 [4 per cell]
Tc 0.2500 0.2500 0.7500 [4 per cell]
Bi 0.2500 0.2500 0.2500 [4 per cell]

Properties
* V: 18.18 Å³ per atom

---

Arrangement 3

ZrBeTcBi: optimized geometry, PBE.

Unit cell a=6.5704 b=6.5704 c=6.5704 alpha=90.00 beta=90.00 gamma=90.00
Space group F-43m (No. 216)
Inequivalent atoms, fractional coordinates:
Zr 0.0000 0.0000 0.0000 [4 per cell]
Be 0.2500 0.2500 0.2500 [4 per cell]
Tc 0.0000 0.0000 0.5000 [4 per cell]
Bi 0.2500 0.2500 0.7500 [4 per cell]

Properties
* V: 17.73 Å³ per atom

---

It comes down to arrangement 1, which is 0.065 eV/atom more stable than the next structure.

---

Arrangement 1

BeNb3C: optimized geometry, PBE.

Unit cell a=3.2242 b=10.4812 c=8.2333 alpha=90.00 beta=90.00 gamma=90.00
Space group Cmcm (No. 63)
Inequivalent atoms, fractional coordinates:
Be 0.0000 0.2430 0.2500 [4 per cell]
Nb 0.0000 0.1356 0.5594 [8 per cell]
Nb 0.0000 0.4350 0.7500 [4 per cell]
C 0.0000 0.5000 0.0000 [4 per cell]

Properties
* V: 13.91 Å³ per atom

---

Arrangement 2

BeNb3C: optimized geometry, PBE.

Unit cell a=4.2544 b=4.2544 c=4.2544 alpha=90.00 beta=90.00 gamma=90.00
Space group Pm-3m (No. 221)
Inequivalent atoms, fractional coordinates:
Be 0.0000 0.0000 0.0000 [1 per cell]
Nb 0.0000 0.5000 0.5000 [3 per cell]
C 0.5000 0.5000 0.5000 [1 per cell]

Properties
* V: 15.40 Å³ per atom

---

It comes down to arrangement 1, which is 0.436 eV/atom more stable than the next structure.

---

Arrangement 1

BeCd: optimized geometry, PBE.

Unit cell a=4.3275 b=4.3275 c=4.7140 alpha=90.00 beta=90.00 gamma=120.00
Space group P6_3/mmc (No. 194)
Inequivalent atoms, fractional coordinates:
Be 0.3333 0.6667 0.2500 [2 per cell]
Cd 0.3333 0.6667 0.7500 [2 per cell]

Properties
* V: 19.11 Å³ per atom

---

Arrangement 2

BeCd: optimized geometry, PBE.

Unit cell a=5.5803 b=5.5803 c=5.5803 alpha=90.00 beta=90.00 gamma=90.00
Space group F-43m (No. 216)
Inequivalent atoms, fractional coordinates:
Be 0.0000 0.0000 0.0000 [4 per cell]
Cd 0.2500 0.2500 0.7500 [4 per cell]

Properties
* V: 21.72 Å³ per atom

---

It comes down to arrangement 1, which is 0.274 eV/atom more stable than the next structure.